Density functional theory data (PBE) for crystalline Ce7Sn2Sb2 at its relaxed geometry.

Cell lengths 7.2428, 6.9655, 7.2428 Å; angles 90.00, 103.76, 90.00 degrees
Fractional positions:
Sn (0.8362, 0.5000, 0.8362)
Sn (0.1638, 0.5000, 0.1638)
Ce (0.4998, 0.3047, 0.5002)
Ce (0.9998, 0.3075, 0.5004)
Ce (0.0002, 0.6925, 0.4996)
Ce (0.5002, 0.6953, 0.4998)
Ce (0.5004, 0.6925, 0.9998)
Ce (0.4996, 0.3075, 0.0002)
Ce (0.0000, 0.0000, 0.0000)
Sb (0.2846, 0.9999, 0.7154)
Sb (0.7154, 0.0001, 0.2846)

Output
SG: No. 65
Formation energy (no corrections) (eV/atom): -0.369
M_tot (μB per atom): 0.731
Crystal system: orthorhombic

***

Density functional theory data (PBE) for crystalline Ce2SnSb4 at its relaxed geometry.

Cell lengths 4.3794, 4.3794, 11.1314 Å; angles 90.00, 90.00, 90.00 degrees
Fractional positions:
Sb (0.5000, 0.5000, 0.5000)
Sb (0.0000, 0.5000, 0.8028)
Sb (0.5000, 0.0000, 0.1972)
Sb (0.0000, 0.0000, 0.5000)
Sn (0.5000, 0.5000, 0.0000)
Ce (0.0000, 0.5000, 0.2785)
Ce (0.5000, 0.0000, 0.7215)

Output
Offset from the most stable computed form (eV/atom): 0.005
SG: No. 115
Formation energy (no corrections) (eV/atom): -0.593
M_tot (μB per atom): 0.235
Crystal system: tetragonal

***

Density functional theory data (PBE) for crystalline Ce6Sn2Sb at its relaxed geometry.

Cell lengths 3.2453, 9.0118, 9.0118 Å; angles 120.00, 90.00, 90.00 degrees
Fractional positions:
Sb (0.0000, 0.0000, 0.0000)
Ce (0.5000, 0.0000, 0.3310)
Ce (0.5000, 0.3310, 0.3310)
Ce (0.5000, 0.6690, 0.6690)
Ce (0.5000, 0.6690, 0.0000)
Ce (0.5000, 0.3310, 0.0000)
Ce (0.5000, 0.0000, 0.6690)
Sn (0.0000, 0.3333, 0.6667)
Sn (0.0000, 0.6667, 0.3333)

Output
SG: No. 191
Formation energy (no corrections) (eV/atom): -0.364
M_tot (μB per atom): 0.409
Crystal system: hexagonal